Record 1
The following is a GGA-PBE calculation of crystalline CaFeN at its relaxed geometry, from Alexandria via LeMat-Bulk.

Cell lengths 5.6378, 5.4999, 8.0285 Å; angles 90.00, 90.00, 90.00 degrees
Last column: nearest neighbours and their distance in Å.
Atoms (fractional coordinates):
Ca1 0.8784 0.5870 0.5000  5 N 2.61-2.74, 1 Fe 2.73
Ca2 0.0548 0.9231 0.1981  3 N 2.44-2.64
Ca3 0.5548 0.0769 0.6981  3 N 2.44-2.64
Ca4 0.0548 0.9231 0.8019  3 N 2.44-2.64
Ca5 0.3784 0.4130 0.0000  5 N 2.61-2.74, 1 Fe 2.73
Ca6 0.5548 0.0769 0.3019  3 N 2.44-2.64
Fe1 0.8834 0.4181 0.1482  3 N 1.93-2.02
Fe2 0.6546 0.8199 0.0000  3 N 1.91-1.95
Fe3 0.1546 0.1801 0.5000  3 N 1.91-1.95
Fe4 0.8834 0.4181 0.8518  3 N 1.93-2.02
Fe5 0.3834 0.5819 0.6482  3 N 1.93-2.02
Fe6 0.3834 0.5819 0.3518  3 N 1.93-2.02
N1 0.1606 0.3358 0.2813  3 Fe 1.93-1.95
N2 0.1606 0.3358 0.7187  3 Fe 1.93-1.95
N3 0.6606 0.6642 0.7813  3 Fe 1.93-1.95
N4 0.6606 0.6642 0.2187  3 Fe 1.93-1.95
N5 0.7694 0.1459 0.0000  3 Fe 1.91-2.02
N6 0.2694 0.8541 0.5000  3 Fe 1.91-2.02

Computed properties:
* DFT total energy: -118.0 eV/cell
* space group: Pmn2_1 (31)

=====

Record 2
The following is a GGA-PBE calculation of crystalline Sm6DyHo2Th3 at its relaxed geometry, from Alexandria via LeMat-Bulk.

Cell lengths 6.2207, 6.2207, 11.9161 Å; angles 95.00, 95.00, 119.94 degrees
Last column: nearest neighbours and their distance in Å.
Atoms (fractional coordinates):
Sm1 0.4175 0.0841 0.2531  3 Th 3.56, 6 Sm 3.59, 2 Ho 3.62, 1 Dy 3.62
Sm2 0.5825 0.9159 0.7469  3 Th 3.56, 6 Sm 3.59, 2 Ho 3.62, 1 Dy 3.62
Sm3 0.7507 0.7507 0.2531  3 Th 3.56, 6 Sm 3.59, 2 Ho 3.62, 1 Dy 3.62
Sm4 0.0841 0.4175 0.2531  3 Th 3.56, 6 Sm 3.59, 2 Ho 3.62, 1 Dy 3.62
Sm5 0.9159 0.5825 0.7469  3 Th 3.56, 6 Sm 3.59, 2 Ho 3.62, 1 Dy 3.62
Sm6 0.2493 0.2493 0.7469  3 Th 3.56, 6 Sm 3.59, 2 Ho 3.62, 1 Dy 3.62
Ho1 0.6667 0.3333 0.0000  3 Dy 3.59, 3 Ho 3.59, 6 Sm 3.62
Ho2 0.3333 0.6667 0.0000  3 Dy 3.59, 3 Ho 3.59, 6 Sm 3.62
Th1 0.5000 0.5000 0.5000  6 Sm 3.56, 6 Th 3.59
Th2 0.1666 0.8334 0.5000  6 Sm 3.56, 6 Th 3.59
Th3 0.8334 0.1666 0.5000  6 Sm 3.56, 6 Th 3.59
Dy1 0.0000 0.0000 0.0000  6 Ho 3.59, 6 Sm 3.62

Computed properties:
* space group: C2/m (12)
* energy relative to the elements: 0.035 eV/atom

=====

Record 3
The following is a GGA-PBE calculation of crystalline Hf3RuW at its relaxed geometry, from Alexandria via LeMat-Bulk.

Cell lengths 4.9495, 4.9495, 4.9495 Å; angles 90.00, 90.00, 90.00 degrees
Last column: nearest neighbours and their distance in Å.
Atoms (fractional coordinates):
Hf1 0.0000 0.5000 0.0000  2 W 2.47
Hf2 0.5000 0.0000 0.0000  2 W 2.47
Hf3 0.0000 0.0000 0.5000  2 W 2.47
Ru1 0.5000 0.5000 0.5000  12 Hf 3.50
W1 0.0000 0.0000 0.0000  6 Hf 2.47

Computed properties:
* offset from the most stable computed form: 0.369 eV/atom
* space group: Pm-3m (221)
* energy relative to the elements: 1.259 eV/atom

=====

Record 4
The following is a GGA-PBE calculation of crystalline Sn2AsPd8 at its relaxed geometry, from Alexandria via LeMat-Bulk.

Cell lengths 4.5407, 5.8024, 7.8368 Å; angles 110.20, 106.84, 90.00 degrees
Last column: nearest neighbours and their distance in Å.
Atoms (fractional coordinates):
Pd1 0.3532 0.0861 0.7063  1 As 2.43
Pd2 0.1906 0.2236 0.3811  3 Sn 2.74-2.91, 8 Pd 2.82-3.07
Pd3 0.3782 0.5922 0.7563  1 As 2.41
Pd4 0.0076 0.7624 0.0152  2 As 2.68, 1 Sn 2.78, 6 Pd 2.85-2.99
Pd5 0.9924 0.2376 0.9848  2 As 2.68, 1 Sn 2.78, 6 Pd 2.85-2.99
Pd6 0.6468 0.9139 0.2937  1 As 2.43
Pd7 0.8094 0.7764 0.6189  3 Sn 2.74-2.91, 8 Pd 2.82-3.07
Pd8 0.6218 0.4078 0.2437  1 As 2.41
Sn1 0.1802 0.6854 0.3605  9 Pd 2.74-2.91
Sn2 0.8198 0.3146 0.6395  9 Pd 2.74-2.91
As1 0.5000 0.0000 0.0000  8 Pd 2.41-2.68

Computed properties:
* offset from the most stable computed form: 0.000 eV/atom
* space group: C2/m (12)
* energy relative to the elements: -0.439 eV/atom

=====

Number 1: calculated volume 248.9 Å³/cell, M_tot 0.18 μB/atom. Number 2: calculated volume 393.5 Å³/cell, M_tot 0.00 μB/atom. Number 3: calculated volume 121.3 Å³/cell, M_tot 0.00 μB/atom. Number 4: calculated volume 184.3 Å³/cell, M_tot 0.00 μB/atom.